[1]
A relaxed Li2AlRh crystal. Source: the Alexandria database, functional GGA-PBE.

Results
E_form ... -0.2258 eV per atom
SG ... No. 65
M_tot ... 0.13 μB per formula unit

Cell: 4.8809 4.8809 2.7795 Å, 90.00 90.00 119.32°
Site moments in Bohr magnetons follow the coordinates.
Fractional coordinates of all 4 atoms:
Al (0.0000, 0.5000, 0.5000)  0.00
Li (0.0000, 0.0000, 0.0000)  0.00
Li (0.5000, 0.5000, 0.0000)  0.00
Rh (0.5000, 0.0000, 0.5000)  0.12

=====

[2]
A relaxed Li2AlRh crystal. Source: the Alexandria database, functional GGA-PBE.

Results
E_form ... -0.0747 eV per atom
SG ... No. 166
M_tot ... 0.36 μB per formula unit

Cell: 9.1624 9.1624 9.1624 Å, 17.25 17.25 17.25°
Site moments in Bohr magnetons follow the coordinates.
Fractional coordinates of all 4 atoms:
Li (0.9938, 0.9938, 0.9938)  0.00
Li (0.5062, 0.5062, 0.5062)  0.00
Al (0.7500, 0.7500, 0.7500)  0.06
Rh (0.2500, 0.2500, 0.2500)  0.17

=====

[3]
A relaxed LiAl4Rh crystal. Source: the Alexandria database, functional GGA-PBE.

Results
E_form ... -0.1316 eV per atom
SG ... No. 216
M_tot ... 0.00 μB per formula unit

Cell: 5.1111 5.1111 5.1111 Å, 60.00 60.00 60.00°
Fractional coordinates of all 6 atoms:
Al (0.3747, 0.3747, 0.3747)
Al (0.3747, 0.3747, 0.8758)
Al (0.3747, 0.8758, 0.3747)
Al (0.8758, 0.3747, 0.3747)
Li (0.7500, 0.7500, 0.7500)
Rh (0.0000, 0.0000, 0.0000)

=====

[4]
A relaxed Li5Al6Rh crystal. Source: the Alexandria database, functional GGA-PBE.

Results
E_form ... -0.2915 eV per atom
SG ... No. 10
M_tot ... 0.00 μB per formula unit

Cell: 4.3756 6.0539 6.9274 Å, 90.00 71.02 90.00°
Fractional coordinates of all 12 atoms:
Al (0.8288, 0.2465, 0.3276)
Al (0.8288, 0.7535, 0.3276)
Al (0.1712, 0.7535, 0.6724)
Al (0.5000, 0.7492, 0.0000)
Al (0.1712, 0.2465, 0.6724)
Al (0.5000, 0.2508, 0.0000)
Li (0.3195, 0.5000, 0.3482)
Li (0.3292, 0.0000, 0.3278)
Li (0.0000, 0.5000, 0.0000)
Li (0.6805, 0.5000, 0.6518)
Li (0.6708, 0.0000, 0.6722)
Rh (0.0000, 0.0000, 0.0000)

=====

[5]
A relaxed LiAl6Rh2 crystal. Source: the Alexandria database, functional GGA-PBE.

Results
E_form ... -0.5650 eV per atom
SG ... No. 12
M_tot ... 0.00 μB per formula unit

Cell: 4.5065 4.8053 7.0441 Å, 83.06 75.02 62.05°
Fractional coordinates of all 9 atoms:
Li (0.5000, 0.5000, 0.5000)
Rh (0.1415, 0.4998, 0.1741)
Rh (0.8585, 0.5002, 0.8259)
Al (0.4896, 0.8194, 0.1651)
Al (0.8410, 0.8178, 0.4999)
Al (0.5104, 0.1806, 0.8349)
Al (0.1910, 0.8191, 0.8354)
Al (0.8090, 0.1809, 0.1646)
Al (0.1590, 0.1822, 0.5001)

=====

[6]
A relaxed LiAlRh3 crystal. Source: the Alexandria database, functional GGA-PBE.

Results
E_form ... 0.4498 eV per atom
SG ... No. 221
M_tot ... 0.00 μB per formula unit

Cell: 4.4951 4.4951 4.4951 Å, 90.00 90.00 90.00°
Fractional coordinates of all 5 atoms:
Rh (0.0000, 0.5000, 0.0000)
Rh (0.5000, 0.0000, 0.0000)
Rh (0.0000, 0.0000, 0.5000)
Al (0.0000, 0.0000, 0.0000)
Li (0.5000, 0.5000, 0.5000)

=====

[7]
A relaxed Li2AlRh crystal. Source: the Alexandria database, functional GGA-PBE.

Results
E_form ... -0.1766 eV per atom
SG ... No. 123
M_tot ... 0.00 μB per formula unit

Cell: 3.2820 3.2820 5.1667 Å, 90.00 90.00 90.00°
Fractional coordinates of all 4 atoms:
Li (0.0000, 0.0000, 0.0238)
Li (0.0000, 0.0000, 0.4762)
Rh (0.5000, 0.5000, 0.2500)
Al (0.5000, 0.5000, 0.7500)

=====

[8]
A relaxed LiAlRh3 crystal. Source: the Alexandria database, functional GGA-PBE.

Results
E_form ... 0.2831 eV per atom
SG ... No. 221
M_tot ... 0.00 μB per formula unit

Cell: 4.1089 4.1089 4.1089 Å, 90.00 90.00 90.00°
Fractional coordinates of all 5 atoms:
Al (0.5000, 0.5000, 0.5000)
Rh (0.0000, 0.0000, 0.5000)
Rh (0.0000, 0.5000, 0.0000)
Rh (0.5000, 0.0000, 0.0000)
Li (0.0000, 0.0000, 0.0000)

=====

[9]
A relaxed LiAlRh crystal. Source: the Alexandria database, functional GGA-PBE.

Results
E_form ... -0.5582 eV per atom
SG ... No. 156
M_tot ... 0.00 μB per formula unit

Cell: 4.0616 4.0616 2.7953 Å, 90.00 90.00 120.00°
Fractional coordinates of all 3 atoms:
Li (0.6667, 0.3333, 0.3221)
Rh (0.3333, 0.6667, 0.6513)
Al (0.0000, 0.0000, 0.0266)

=====

[10]
A relaxed LiAl5Rh4 crystal. Source: the Alexandria database, functional GGA-PBE.

Results
E_form ... -0.9053 eV per atom
SG ... No. 123
M_tot ... 0.00 μB per formula unit

Cell: 3.0135 3.0135 15.0007 Å, 90.00 90.00 90.00°
Fractional coordinates of all 10 atoms:
Rh (0.0000, 0.0000, 0.6001)
Rh (0.0000, 0.0000, 0.3999)
Rh (0.0000, 0.0000, 0.8019)
Rh (0.0000, 0.0000, 0.1981)
Al (0.5000, 0.5000, 0.1006)
Al (0.5000, 0.5000, 0.7010)
Al (0.5000, 0.5000, 0.5000)
Al (0.5000, 0.5000, 0.2990)
Al (0.5000, 0.5000, 0.8994)
Li (0.0000, 0.0000, 0.0000)

=====

[11]
A relaxed LiAl3Rh crystal. Source: the Alexandria database, functional GGA-PBE.

Results
E_form ... -0.5750 eV per atom
SG ... No. 4
M_tot ... 0.00 μB per formula unit

Cell: 4.3765 4.3753 7.7218 Å, 90.00 106.34 90.00°
Fractional coordinates of all 10 atoms:
Li (0.6676, 0.8449, 0.6175)
Li (0.3581, 0.3449, 0.9971)
Al (0.5716, 0.3453, 0.4236)
Al (0.4541, 0.8453, 0.1910)
Al (0.9574, 0.3437, 0.1957)
Al (0.7624, 0.3443, 0.8069)
Al (0.2632, 0.8443, 0.8077)
Al (0.0683, 0.8437, 0.4188)
Rh (0.8663, 0.8438, 0.0143)
Rh (0.1594, 0.3438, 0.6003)

=====

[12]
A relaxed Li2AlRh crystal. Source: the Alexandria database, functional GGA-PBE.

Results
E_form ... -0.4789 eV per atom
SG ... No. 12
M_tot ... 0.00 μB per formula unit

Cell: 5.1818 5.1818 4.1360 Å, 66.63 66.63 33.38°
Fractional coordinates of all 4 atoms:
Li (0.0100, 0.0100, 0.9902)
Li (0.4900, 0.4900, 0.5098)
Al (0.2500, 0.2500, 0.2500)
Rh (0.7500, 0.7500, 0.7500)

=====

[13]
A relaxed LiAlRh crystal. Source: the Alexandria database, functional GGA-PBE.

Results
E_form ... -0.6472 eV per atom
SG ... No. 156
M_tot ... 0.00 μB per formula unit

Cell: 4.2217 4.2216 5.2299 Å, 90.00 89.99 60.00°
Fractional coordinates of all 6 atoms:
Al (0.6158, 0.4300, 0.4732)
Al (0.9492, 0.7633, 0.1375)
Rh (0.6160, 0.4299, 0.9760)
Rh (0.2824, 0.0967, 0.3078)
Li (0.9491, 0.7633, 0.6479)
Li (0.2824, 0.0967, 0.8083)

=====

[14]
A relaxed LiAl5Rh6 crystal. Source: the Alexandria database, functional GGA-PBE.

Results
E_form ... -1.0173 eV per atom
SG ... No. 12
M_tot ... 0.00 μB per formula unit

Cell: 4.2270 5.9717 7.3069 Å, 114.12 106.62 90.00°
Fractional coordinates of all 12 atoms:
Rh (0.1682, 0.4194, 0.3364)
Rh (0.5000, 0.7476, 0.0000)
Rh (0.8318, 0.0830, 0.6636)
Rh (0.8318, 0.5806, 0.6636)
Rh (0.1682, 0.9170, 0.3364)
Rh (0.5000, 0.2524, 0.0000)
Al (0.6663, 0.6662, 0.3323)
Al (0.0000, 0.5000, 0.0000)
Al (0.3364, 0.8366, 0.6732)
Al (0.6636, 0.1634, 0.3268)
Al (0.3337, 0.3338, 0.6677)
Li (0.0000, 0.0000, 0.0000)

=====

[15]
A relaxed Li2AlRh crystal. Source: the Alexandria database, functional GGA-PBE.

Results
E_form ... -0.4051 eV per atom
SG ... No. 139
M_tot ... 0.00 μB per formula unit

Cell: 5.0393 5.0393 5.0393 Å, 138.31 138.31 60.42°
Fractional coordinates of all 4 atoms:
Al (0.7500, 0.2500, 0.5000)
Rh (0.2500, 0.7500, 0.5000)
Li (0.0000, 0.0000, 0.0000)
Li (0.5000, 0.5000, 0.0000)

=====

[16]
A relaxed LiAlRh crystal. Source: the Alexandria database, functional GGA-PBE.

Results
E_form ... -0.5853 eV per atom
SG ... No. 107
M_tot ... 0.00 μB per formula unit

Cell: 4.7293 4.7292 3.0920 Å, 70.92 70.92 38.16°
Fractional coordinates of all 3 atoms:
Al (0.0093, 0.0093, 0.9907)
Rh (0.6633, 0.6633, 0.3367)
Li (0.3274, 0.3274, 0.6726)

=====

[17]
A relaxed LiAlRuRh crystal. Source: the Alexandria database, functional GGA-PBE.

Results
E_form ... -0.3425 eV per atom
SG ... No. 216
M_tot ... 0.56 μB per formula unit

Cell: 4.2009 4.2009 4.2009 Å, 60.00 60.00 60.00°
Site moments in Bohr magnetons follow the coordinates.
Fractional coordinates of all 4 atoms:
Ru (0.7500, 0.7500, 0.7500)  0.36
Al (0.5000, 0.5000, 0.5000)  -0.01
Rh (0.2500, 0.2500, 0.2500)  0.18
Li (0.0000, 0.0000, 0.0000)  0.00

=====

[18]
A relaxed LiAlSbRh2 crystal. Source: the Alexandria database, functional GGA-PBE.

Results
ΔE_f (raw) ... 362 meV/atom
SG ... No. 123
M_tot ... 0.00 μB per formula unit

Cell: 4.3091 4.3601 4.3091 Å, 90.00 90.00 90.00°
Fractional coordinates of all 5 atoms:
Al (0.5000, 0.5000, 0.5000)
Li (0.0000, 0.0000, 0.0000)
Rh (0.5000, 0.0000, 0.0000)
Rh (0.0000, 0.0000, 0.5000)
Sb (0.0000, 0.5000, 0.0000)

=====

[19]
A relaxed Li2Sc2Al5Rh crystal. Source: the Alexandria database, functional GGA-PBE.

Results
E_form ... -0.3695 eV per atom
SG ... No. 127
M_tot ... 0.00 μB per formula unit

Cell: 3.3538 9.8833 9.8833 Å, 90.00 90.00 90.00°
Fractional coordinates of all 20 atoms:
Al (0.5000, 0.6931, 0.4471)
Al (0.5000, 0.0529, 0.8069)
Al (0.5000, 0.9471, 0.1931)
Al (0.5000, 0.1931, 0.0529)
Al (0.5000, 0.3069, 0.5529)
Al (0.5000, 0.5000, 0.0000)
Al (0.5000, 0.5529, 0.6931)
Al (0.5000, 0.0000, 0.5000)
Al (0.5000, 0.4471, 0.3069)
Al (0.5000, 0.8069, 0.9471)
Sc (0.0000, 0.8261, 0.6739)
Sc (0.0000, 0.1739, 0.3261)
Sc (0.0000, 0.3261, 0.8261)
Sc (0.0000, 0.6739, 0.1739)
Li (0.0000, 0.8708, 0.3708)
Li (0.0000, 0.6292, 0.8708)
Li (0.0000, 0.3708, 0.1292)
Li (0.0000, 0.1292, 0.6292)
Rh (0.0000, 0.5000, 0.5000)
Rh (0.0000, 0.0000, 0.0000)

=====

[20]
A relaxed LiAlSnRh2 crystal. Source: the Alexandria database, functional GGA-PBE.

Results
E_form ... 0.7436 eV per atom
SG ... No. 123
M_tot ... 0.00 μB per formula unit

Cell: 4.9284 5.0493 4.9284 Å, 90.00 90.00 90.00°
Fractional coordinates of all 5 atoms:
Rh (0.5000, 0.0000, 0.0000)
Rh (0.0000, 0.0000, 0.5000)
Al (0.0000, 0.5000, 0.0000)
Sn (0.0000, 0.0000, 0.0000)
Li (0.5000, 0.5000, 0.5000)

=====

[21]
A relaxed Sr2Li3Al12Rh crystal. Source: the Alexandria database, functional GGA-PBE.

Results
E_form ... -0.0614 eV per atom
SG ... No. 166
M_tot ... 0.00 μB per formula unit

Cell: 10.5524 10.5524 10.5524 Å, 36.39 36.39 36.39°
Fractional coordinates of all 18 atoms:
Al (0.6429, 0.0795, 0.0795)
Al (0.3571, 0.9205, 0.9205)
Al (0.1837, 0.5872, 0.5872)
Al (0.4128, 0.4128, 0.8163)
Al (0.0795, 0.0795, 0.6429)
Al (0.9205, 0.3571, 0.9205)
Al (0.0795, 0.6429, 0.0795)
Al (0.5872, 0.5872, 0.1837)
Al (0.8163, 0.4128, 0.4128)
Al (0.9205, 0.9205, 0.3571)
Al (0.4128, 0.8163, 0.4128)
Al (0.5872, 0.1837, 0.5872)
Li (0.0000, 0.0000, 0.5000)
Li (0.0000, 0.5000, 0.0000)
Li (0.5000, 0.0000, 0.0000)
Sr (0.3554, 0.3554, 0.3554)
Sr (0.6446, 0.6446, 0.6446)
Rh (0.0000, 0.0000, 0.0000)

=====

[22]
A relaxed Sr2LiAlRh crystal. Source: the Alexandria database, functional GGA-PBE.

Results
E_form ... -0.1771 eV per atom
SG ... No. 123
M_tot ... 0.00 μB per formula unit

Cell: 5.8184 5.8184 4.8343 Å, 90.00 90.00 90.00°
Fractional coordinates of all 5 atoms:
Rh (0.0000, 0.0000, 0.0000)
Li (0.5000, 0.5000, 0.5000)
Sr (0.0000, 0.5000, 0.0000)
Sr (0.5000, 0.0000, 0.0000)
Al (0.0000, 0.0000, 0.5000)

=====

[23]
A relaxed SrLi2AlRh crystal. Source: the Alexandria database, functional GGA-PBE.

Results
E_form ... -0.2239 eV per atom
SG ... No. 123
M_tot ... 0.00 μB per formula unit

Cell: 4.8772 4.8772 4.7443 Å, 90.00 90.00 90.00°
Fractional coordinates of all 5 atoms:
Rh (0.0000, 0.0000, 0.0000)
Li (0.5000, 0.0000, 0.0000)
Li (0.0000, 0.5000, 0.0000)
Al (0.0000, 0.0000, 0.5000)
Sr (0.5000, 0.5000, 0.5000)

=====

[24]
A relaxed Li2TaAlRh crystal. Source: the Alexandria database, functional GGA-PBE.

Results
E_form ... 0.5138 eV per atom
SG ... No. 123
M_tot ... 0.00 μB per formula unit

Cell: 4.4098 4.8326 4.4098 Å, 90.00 90.00 90.00°
Fractional coordinates of all 5 atoms:
Ta (0.0000, 0.5000, 0.0000)
Rh (0.0000, 0.0000, 0.0000)
Al (0.5000, 0.5000, 0.5000)
Li (0.0000, 0.0000, 0.5000)
Li (0.5000, 0.0000, 0.0000)

=====

[25]
A relaxed LiTbAlRh crystal. Source: the Alexandria database, functional GGA-PBE.

Results
E_form ... -0.5590 eV per atom
SG ... No. 216
M_tot ... 0.00 μB per formula unit

Cell: 4.6371 4.6371 4.6371 Å, 60.00 60.00 60.00°
Fractional coordinates of all 4 atoms:
Rh (0.5000, 0.5000, 0.5000)
Al (0.7500, 0.7500, 0.7500)
Tb (0.2500, 0.2500, 0.2500)
Li (0.0000, 0.0000, 0.0000)

=====

[26]
A relaxed LiAlTeRh2 crystal. Source: the Alexandria database, functional GGA-PBE.

Results
ΔE_f (raw) ... 665 meV/atom
SG ... No. 123
M_tot ... 0.01 μB per formula unit

Cell: 4.9154 5.2055 4.9154 Å, 90.00 90.00 90.00°
Fractional coordinates of all 5 atoms:
Rh (0.0000, 0.0000, 0.5000)
Rh (0.5000, 0.0000, 0.0000)
Al (0.0000, 0.5000, 0.0000)
Te (0.0000, 0.0000, 0.0000)
Li (0.5000, 0.5000, 0.5000)